[1]
AlPbS2 | GGA-PBE | relaxed

Structure (CIF):
```
data_AlPbS2
_cell_length_a 5.252
_cell_length_b 3.640
_cell_length_c 6.587
_cell_angle_alpha 90.00
_cell_angle_beta 109.64
_cell_angle_gamma 90.00
_symmetry_space_group_name_H-M 'P 1 m 1'
_symmetry_Int_Tables_number 6
_symmetry_space_group_name_Hall 'P -2y'
loop_
_atom_site_label
_atom_site_fract_x
_atom_site_fract_y
_atom_site_fract_z
Al1 0.000 0.000 0.000
Pb1 0.789 0.500 0.327
S1 0.363 0.000 0.289
S2 0.843 0.500 0.792
```

Results
The value obtained for the uncorrected energy is -4.418 eV/atom. Its formation energy without anion corrections is -491 meV/atom.



[2]
AlInP | GGA-PBE | relaxed

Structure (CIF):
```
data_AlInP
_cell_length_a 3.813
_cell_length_b 5.659
_cell_length_c 6.376
_cell_angle_alpha 90.00
_cell_angle_beta 90.00
_cell_angle_gamma 90.00
_symmetry_space_group_name_H-M 'P m n 21'
_symmetry_Int_Tables_number 31
_symmetry_space_group_name_Hall 'P 2ac -2'
loop_
_atom_site_label
_atom_site_fract_x
_atom_site_fract_y
_atom_site_fract_z
Al1 0.000 0.142 0.000
In1 0.000 0.453 0.587
P1 0.000 0.053 0.364
```

Results
As for the polymorph energy (0 for the lowest one): 0.026 eV per atom. The value obtained for the uncorrected energy is -4.085 eV/atom. The energy relative to the elements comes out at -121 meV per atom.



[3]
La3Tl3InSe8 | GGA-PBE | relaxed

Structure (CIF):
```
data_La3Tl3InSe8
_cell_length_a 8.6900
_cell_length_b 8.6900
_cell_length_c 22.6954
_cell_angle_alpha 90.00
_cell_angle_beta 90.00
_cell_angle_gamma 120.00
_symmetry_space_group_name_H-M 'R -3 m'
_symmetry_Int_Tables_number 166
_symmetry_space_group_name_Hall '-R 3 2"'
loop_
_atom_site_label
_atom_site_fract_x
_atom_site_fract_y
_atom_site_fract_z
La1 0.0000 0.5000 0.0000
Tl1 0.0000 0.5000 0.5000
In1 0.0000 0.0000 0.0000
Se1 0.0000 0.0000 0.2609
Se2 0.0197 0.5099 0.7363
```

Results
The value obtained for the uncorrected energy is -4.674 eV/atom. Its formation energy without anion corrections is -1175 meV/atom.



[4]
MnCoPb2 | GGA-PBE | relaxed

Structure (CIF):
```
data_MnCoPb2
_cell_length_a 12.572
_cell_length_b 3.179
_cell_length_c 4.462
_cell_angle_alpha 90.00
_cell_angle_beta 110.68
_cell_angle_gamma 90.00
_symmetry_space_group_name_H-M 'C 1 m 1'
_symmetry_Int_Tables_number 8
_symmetry_space_group_name_Hall 'C -2y'
loop_
_atom_site_label
_atom_site_fract_x
_atom_site_fract_y
_atom_site_fract_z
Mn1 0.000 0.000 0.000
Co1 0.164 0.500 0.163
Pb1 0.172 0.000 0.671
Pb2 0.392 0.000 0.393
```

Results
As for the polymorph energy (0 for the lowest one): 0.160 eV per atom. The value obtained for the uncorrected energy is -5.500 eV/atom. The energy relative to the elements comes out at 423 meV per atom.



[5]
YErTl | GGA-PBE | relaxed

Structure (CIF):
```
data_YErTl
_cell_length_a 6.920
_cell_length_b 5.036
_cell_length_c 9.880
_cell_angle_alpha 90.00
_cell_angle_beta 90.00
_cell_angle_gamma 90.00
_symmetry_space_group_name_H-M 'P n m a'
_symmetry_Int_Tables_number 62
_symmetry_space_group_name_Hall '-P 2ac 2n'
loop_
_atom_site_label
_atom_site_fract_x
_atom_site_fract_y
_atom_site_fract_z
Y1 0.050 0.250 0.202
Er1 0.163 0.250 0.559
Tl1 0.211 0.250 0.879
```

Results
As for the polymorph energy (0 for the lowest one): 0.000 eV per atom. The value obtained for the uncorrected energy is -4.750 eV/atom. The energy relative to the elements comes out at -286 meV per atom.



[6]
YBeAu3 | GGA-PBE | relaxed

Structure (CIF):
```
data_YBeAu3
_cell_length_a 5.245
_cell_length_b 15.604
_cell_length_c 5.333
_cell_angle_alpha 90.00
_cell_angle_beta 90.00
_cell_angle_gamma 90.00
_symmetry_space_group_name_H-M 'C m c m'
_symmetry_Int_Tables_number 63
_symmetry_space_group_name_Hall '-C 2c 2'
loop_
_atom_site_label
_atom_site_fract_x
_atom_site_fract_y
_atom_site_fract_z
Y1 0.000 0.183 0.250
Be1 0.000 0.484 0.250
Au1 0.000 0.000 0.000
Au2 0.248 0.353 0.250
```

Results
As for the polymorph energy (0 for the lowest one): 0.393 eV per atom. The value obtained for the uncorrected energy is -4.178 eV/atom. The energy relative to the elements comes out at -174 meV per atom.



[7]
TbTePb2O6 | GGA-PBE | relaxed

Structure (CIF):
```
data_TbTePb2O6
_cell_length_a 5.947
_cell_length_b 6.053
_cell_length_c 10.372
_cell_angle_alpha 90.00
_cell_angle_beta 124.92
_cell_angle_gamma 90.00
_symmetry_space_group_name_H-M 'P 1 21/c 1'
_symmetry_Int_Tables_number 14
_symmetry_space_group_name_Hall '-P 2ybc'
loop_
_atom_site_label
_atom_site_fract_x
_atom_site_fract_y
_atom_site_fract_z
Tb1 0.000 0.000 0.000
Te1 0.500 0.000 0.500
Pb1 0.244 0.031 0.751
O1 0.174 0.195 0.458
O2 0.266 0.717 0.457
O3 0.347 0.023 0.262
```

Results
The value obtained for the uncorrected energy is -6.131 eV/atom. Its formation energy without anion corrections is -1638 meV/atom.



[8]
YEr2H8 | GGA-PBE | relaxed

Structure (CIF):
```
data_YEr2H8
_cell_length_a 3.603
_cell_length_b 5.101
_cell_length_c 10.808
_cell_angle_alpha 90.00
_cell_angle_beta 90.00
_cell_angle_gamma 90.00
_symmetry_space_group_name_H-M 'I m m m'
_symmetry_Int_Tables_number 71
_symmetry_space_group_name_Hall '-I 2 2'
loop_
_atom_site_label
_atom_site_fract_x
_atom_site_fract_y
_atom_site_fract_z
Y1 0.000 0.000 0.000
Er1 0.000 0.000 0.331
H1 0.000 0.225 0.500
H2 0.000 0.262 0.163
H3 0.000 0.500 0.342
```

Results
The value obtained for the uncorrected energy is -4.481 eV/atom.



[9]
La5DySn6 | GGA-PBE | relaxed

Structure (CIF):
```
data_La5DySn6
_cell_length_a 5.079
_cell_length_b 9.132
_cell_length_c 15.234
_cell_angle_alpha 90.00
_cell_angle_beta 90.00
_cell_angle_gamma 90.00
_symmetry_space_group_name_H-M 'I m m m'
_symmetry_Int_Tables_number 71
_symmetry_space_group_name_Hall '-I 2 2'
loop_
_atom_site_label
_atom_site_fract_x
_atom_site_fract_y
_atom_site_fract_z
La1 0.000 0.000 0.000
La2 0.000 0.000 0.334
La3 0.000 0.500 0.333
Dy1 0.000 0.500 0.000
Sn1 0.000 0.244 0.500
Sn2 0.000 0.253 0.163
```

Results
The value obtained for the uncorrected energy is -5.153 eV/atom. The energy relative to the elements comes out at -715 meV per atom.



[10]
Zr3Al | GGA-PBE | relaxed

Structure (CIF):
```
data_Zr3Al
_cell_length_a 5.978
_cell_length_b 9.632
_cell_length_c 6.081
_cell_angle_alpha 90.00
_cell_angle_beta 100.44
_cell_angle_gamma 90.00
_symmetry_space_group_name_H-M 'C 1 m 1'
_symmetry_Int_Tables_number 8
_symmetry_space_group_name_Hall 'C -2y'
loop_
_atom_site_label
_atom_site_fract_x
_atom_site_fract_y
_atom_site_fract_z
Zr1 0.000 0.000 0.000
Zr2 0.129 0.267 0.758
Zr3 0.293 0.209 0.282
Zr4 0.318 0.500 0.488
Al1 0.014 0.500 0.055
Al2 0.309 0.000 0.623
```

Results
The value obtained for the uncorrected energy is -7.545 eV/atom. The energy relative to the elements comes out at -199 meV per atom.



[11]
TaGaSiOsPb | GGA-PBE | relaxed

Structure (CIF):
```
data_TaGaSiOsPb
_cell_length_a 16.410
_cell_length_b 3.884
_cell_length_c 3.064
_cell_angle_alpha 90.00
_cell_angle_beta 98.30
_cell_angle_gamma 90.00
_symmetry_space_group_name_H-M 'C 1 m 1'
_symmetry_Int_Tables_number 8
_symmetry_space_group_name_Hall 'C -2y'
loop_
_atom_site_label
_atom_site_fract_x
_atom_site_fract_y
_atom_site_fract_z
Ta1 0.000 0.000 0.000
Ga1 0.104 0.500 0.581
Si1 0.438 0.000 0.453
Os1 0.152 0.000 0.114
Pb1 0.290 0.500 0.561
```

Results
As for the polymorph energy (0 for the lowest one): 0.198 eV per atom. The value obtained for the uncorrected energy is -6.868 eV/atom. Its formation energy without anion corrections is 180 meV/atom.



[12]
Pm7Y2Tm2 | GGA-PBE | relaxed

Structure (CIF):
```
data_Pm7Y2Tm2
_cell_length_a 10.831
_cell_length_b 8.727
_cell_length_c 8.238
_cell_angle_alpha 90.00
_cell_angle_beta 105.11
_cell_angle_gamma 90.00
_symmetry_space_group_name_H-M 'C 1 2/m 1'
_symmetry_Int_Tables_number 12
_symmetry_space_group_name_Hall '-C 2y'
loop_
_atom_site_label
_atom_site_fract_x
_atom_site_fract_y
_atom_site_fract_z
Pm1 0.000 0.000 0.000
Pm2 0.223 0.303 0.181
Pm3 0.236 0.500 0.552
Y1 0.049 0.500 0.810
Tm1 0.000 0.209 0.500
```

Results
As for the polymorph energy (0 for the lowest one): 0.045 eV per atom. The value obtained for the uncorrected energy is -4.855 eV/atom. The energy relative to the elements comes out at 157 meV per atom.



[13]
Er3O | GGA-PBE | relaxed

Structure (CIF):
```
data_Er3O
_cell_length_a 3.216
_cell_length_b 9.768
_cell_length_c 5.808
_cell_angle_alpha 90.00
_cell_angle_beta 90.00
_cell_angle_gamma 90.00
_symmetry_space_group_name_H-M 'I m m 2'
_symmetry_Int_Tables_number 44
_symmetry_space_group_name_Hall 'I 2 -2'
loop_
_atom_site_label
_atom_site_fract_x
_atom_site_fract_y
_atom_site_fract_z
Er1 0.000 0.000 0.000
Er2 0.000 0.170 0.487
O1 0.000 0.500 0.792
```

Results
The value obtained for the uncorrected energy is -5.755 eV/atom. Its formation energy without anion corrections is -1093 meV/atom.



[14]
CaCeGa4 | GGA-PBE | relaxed

Structure (CIF):
```
data_CaCeGa4
_cell_length_a 4.307
_cell_length_b 7.481
_cell_length_c 8.444
_cell_angle_alpha 90.00
_cell_angle_beta 90.00
_cell_angle_gamma 90.00
_symmetry_space_group_name_H-M 'I m m m'
_symmetry_Int_Tables_number 71
_symmetry_space_group_name_Hall '-I 2 2'
loop_
_atom_site_label
_atom_site_fract_x
_atom_site_fract_y
_atom_site_fract_z
Ca1 0.000 0.000 0.000
Ce1 0.000 0.000 0.500
Ga1 0.000 0.330 0.226
```

Results
As for the polymorph energy (0 for the lowest one): 0.000 eV per atom. The value obtained for the uncorrected energy is -3.871 eV/atom. The energy relative to the elements comes out at -530 meV per atom.



[15]
Pr3Sn2Pt7 | GGA-PBE | relaxed

Structure (CIF):
```
data_Pr3Sn2Pt7
_cell_length_a 4.177
_cell_length_b 4.177
_cell_length_c 29.817
_cell_angle_alpha 90.00
_cell_angle_beta 90.00
_cell_angle_gamma 90.00
_symmetry_space_group_name_H-M 'I 4/m m m'
_symmetry_Int_Tables_number 139
_symmetry_space_group_name_Hall '-I 4 2'
loop_
_atom_site_label
_atom_site_fract_x
_atom_site_fract_y
_atom_site_fract_z
Pr1 0.000 0.000 0.000
Pr2 0.000 0.000 0.182
Sn1 0.000 0.000 0.373
Pt1 0.000 0.000 0.282
Pt2 0.000 0.000 0.500
Pt3 0.000 0.500 0.073
```

Results
As for the polymorph energy (0 for the lowest one): 0.000 eV per atom. The value obtained for the uncorrected energy is -6.150 eV/atom. The energy relative to the elements comes out at -764 meV per atom.



[16]
Cs2Ac2PtO6 | GGA-PBE | relaxed

Structure (CIF):
```
data_Cs2Ac2PtO6
_cell_length_a 6.353
_cell_length_b 10.811
_cell_length_c 7.249
_cell_angle_alpha 90.00
_cell_angle_beta 103.28
_cell_angle_gamma 90.00
_symmetry_space_group_name_H-M 'C 1 2/m 1'
_symmetry_Int_Tables_number 12
_symmetry_space_group_name_Hall '-C 2y'
loop_
_atom_site_label
_atom_site_fract_x
_atom_site_fract_y
_atom_site_fract_z
Cs1 0.000 0.161 0.000
Ac1 0.000 0.337 0.500
Pt1 0.000 0.000 0.500
O1 0.186 0.146 0.655
O2 0.234 0.000 0.332
```

Results
The value obtained for the uncorrected energy is -6.076 eV/atom. Its formation energy without anion corrections is -1920 meV/atom.



[17]
PmNdAlGe | GGA-PBE | relaxed

Structure (CIF):
```
data_PmNdAlGe
_cell_length_a 4.117
_cell_length_b 4.496
_cell_length_c 11.300
_cell_angle_alpha 90.00
_cell_angle_beta 90.00
_cell_angle_gamma 90.00
_symmetry_space_group_name_H-M 'A m m 2'
_symmetry_Int_Tables_number 38
_symmetry_space_group_name_Hall 'A 2 -2'
loop_
_atom_site_label
_atom_site_fract_x
_atom_site_fract_y
_atom_site_fract_z
Pm1 0.000 0.000 0.000
Nd1 0.500 0.000 0.717
Al1 0.500 0.000 0.429
Ge1 0.000 0.000 0.284
```

Results
As for the polymorph energy (0 for the lowest one): 0.000 eV per atom. The value obtained for the uncorrected energy is -5.139 eV/atom. The energy relative to the elements comes out at -669 meV per atom.



[18]
Sc2CdInHg5 | GGA-PBE | relaxed

Structure (CIF):
```
data_Sc2CdInHg5
_cell_length_a 8.677
_cell_length_b 8.677
_cell_length_c 12.126
_cell_angle_alpha 90.00
_cell_angle_beta 90.00
_cell_angle_gamma 90.00
_symmetry_space_group_name_H-M 'I 4/m c m'
_symmetry_Int_Tables_number 140
_symmetry_space_group_name_Hall '-I 4 2c'
loop_
_atom_site_label
_atom_site_fract_x
_atom_site_fract_y
_atom_site_fract_z
Sc1 0.117 0.383 0.000
Cd1 0.000 0.500 0.250
In1 0.000 0.000 0.250
Hg1 0.000 0.000 0.000
Hg2 0.195 0.305 0.366
```

Results
The value obtained for the uncorrected energy is -2.002 eV/atom. The energy relative to the elements comes out at -22 meV per atom.



[19]
Tm4PuSb5 | GGA-PBE | relaxed

Structure (CIF):
```
data_Tm4PuSb5
_cell_length_a 4.356
_cell_length_b 6.159
_cell_length_c 21.781
_cell_angle_alpha 90.00
_cell_angle_beta 90.00
_cell_angle_gamma 90.00
_symmetry_space_group_name_H-M 'I m m m'
_symmetry_Int_Tables_number 71
_symmetry_space_group_name_Hall '-I 2 2'
loop_
_atom_site_label
_atom_site_fract_x
_atom_site_fract_y
_atom_site_fract_z
Tm1 0.000 0.000 0.101
Tm2 0.000 0.000 0.298
Pu1 0.000 0.000 0.500
Sb1 0.000 0.500 0.102
Sb2 0.000 0.500 0.300
Sb3 0.000 0.500 0.500
```

Results
The value obtained for the uncorrected energy is -6.249 eV/atom. Its formation energy without anion corrections is -966 meV/atom.



[20]
Sc4Re5 | GGA-PBE | relaxed

Structure (CIF):
```
data_Sc4Re5
_cell_length_a 8.1890
_cell_length_b 8.1890
_cell_length_c 5.3048
_cell_angle_alpha 90.00
_cell_angle_beta 90.00
_cell_angle_gamma 120.00
_symmetry_space_group_name_H-M 'P 63/m c m'
_symmetry_Int_Tables_number 193
_symmetry_space_group_name_Hall '-P 6c 2'
loop_
_atom_site_label
_atom_site_fract_x
_atom_site_fract_y
_atom_site_fract_z
Sc1 0.0000 0.0000 0.0000
Sc2 0.0000 0.3616 0.2500
Re1 0.0000 0.3186 0.7500
Re2 0.3333 0.6667 0.0000
```

Results
As for the polymorph energy (0 for the lowest one): 0.301 eV per atom. The value obtained for the uncorrected energy is -9.409 eV/atom. The energy relative to the elements comes out at 321 meV per atom.